No. 1
The following is a PBE calculation of a relaxed structure of K2YHfTe4, from the Alexandria database.

Geometry as POSCAR:
```
K2YHfTe4
1.0
7.524 0.000 0.000
0.000 4.305 0.000
-2.464 0.000 8.309
K Y Hf Te
2 1 1 4
Direct
0.000 0.000 0.000
0.500 0.500 0.000
0.000 0.500 0.500
0.500 0.000 0.500
0.249 0.000 0.708
0.279 0.500 0.298
0.721 0.500 0.702
0.751 0.000 0.292
```

Properties
V, Å³/atom: 33.6
Energy relative to the elements, uncorrected, eV/atom: -1.124
SG: P2/m
VASP energy, eV per cell: -40.2

No. 2
The following is a PBE calculation of a relaxed structure of K4Y3HfTe8, from the Alexandria database.

Geometry as POSCAR:
```
K4Y3HfTe8
1.0
4.411 2.547 8.273
-4.411 2.547 8.273
0.000 -5.093 8.273
K Y Hf Te
4 3 1 8
Direct
0.000 0.000 0.000
0.000 0.500 0.500
0.500 0.000 0.500
0.500 0.500 0.000
0.000 0.000 0.500
0.000 0.500 0.000
0.500 0.000 0.000
0.500 0.500 0.500
0.237 0.237 0.237
0.250 0.728 0.728
0.272 0.272 0.750
0.272 0.750 0.272
0.728 0.250 0.728
0.728 0.728 0.250
0.750 0.272 0.272
0.763 0.763 0.763
```

Properties
V, Å³/atom: 34.8
Energy relative to the elements, uncorrected, eV/atom: -1.263
SG: R-3m
VASP energy, eV per cell: -79.1

No. 3
The following is a PBE calculation of a relaxed structure of KYHfTe2, from the Alexandria database.

Geometry as POSCAR:
```
KYHfTe2
1.0
5.813 0.000 0.000
0.000 5.813 0.000
0.000 0.000 6.210
K Y Hf Te
1 1 1 2
Direct
0.000 0.000 0.000
0.000 0.000 0.500
0.500 0.500 0.000
0.000 0.500 0.500
0.500 0.000 0.500
```

Properties
V, Å³/atom: 42.0
Energy relative to the elements, uncorrected, eV/atom: 0.621
SG: P4/mmm
VASP energy, eV per cell: -20.7

No. 4
The following is a PBE calculation of a relaxed structure of K2Y2HfTe6, from the Alexandria database.

Geometry as POSCAR:
```
K2Y2HfTe6
1.0
3.767 -6.486 0.000
3.767 6.486 0.000
-2.616 0.000 8.442
K Y Hf Te
2 2 1 6
Direct
0.171 0.829 0.000
0.829 0.171 0.000
0.332 0.668 0.500
0.668 0.332 0.500
0.000 0.000 0.500
0.074 0.388 0.704
0.247 0.247 0.298
0.388 0.074 0.704
0.612 0.926 0.296
0.753 0.753 0.702
0.926 0.612 0.296
```

Properties
V, Å³/atom: 37.5
Energy relative to the elements, uncorrected, eV/atom: -1.237
SG: C2/m
VASP energy, eV per cell: -57.5

No. 5
The following is a PBE calculation of a relaxed structure of KHf2ZnTe, from the Alexandria database.

Geometry as POSCAR:
```
KHf2ZnTe
1.0
5.018 0.000 0.000
0.000 5.018 0.000
0.000 0.000 5.782
K Hf Zn Te
1 2 1 1
Direct
0.000 0.000 0.000
0.000 0.500 0.500
0.500 0.000 0.500
0.000 0.000 0.500
0.500 0.500 0.000
```

Properties
V, Å³/atom: 29.1
Energy relative to the elements, uncorrected, eV/atom: 0.640
SG: P4/mmm
VASP energy, eV per cell: -22.2

No. 6
The following is a PBE calculation of a relaxed structure of K3HfZr2Te6, from the Alexandria database.

Geometry as POSCAR:
```
K3HfZr2Te6
1.0
3.602 -6.237 0.000
3.602 6.237 0.000
-2.400 0.000 8.448
K Hf Zr Te
3 1 2 6
Direct
0.000 0.000 0.000
0.331 0.669 0.000
0.669 0.331 0.000
0.500 0.500 0.500
0.165 0.835 0.500
0.835 0.165 0.500
0.103 0.433 0.297
0.240 0.240 0.705
0.433 0.103 0.297
0.567 0.897 0.703
0.760 0.760 0.295
0.897 0.567 0.703
```

Properties
V, Å³/atom: 31.6
Energy relative to the elements, uncorrected, eV/atom: -0.940
SG: C2/m
VASP energy, eV per cell: -60.5

No. 7
The following is a PBE calculation of a relaxed structure of K3HfZr3Te8, from the Alexandria database.

Geometry as POSCAR:
```
K3HfZr3Te8
1.0
7.090 -4.095 0.000
7.090 4.095 0.000
-4.718 0.000 8.643
K Hf Zr Te
3 1 3 8
Direct
0.000 0.000 0.000
0.000 0.500 0.000
0.500 0.000 0.000
0.000 0.000 0.500
0.000 0.500 0.500
0.500 0.000 0.500
0.500 0.500 0.500
0.234 0.234 0.702
0.234 0.735 0.702
0.265 0.265 0.295
0.265 0.766 0.298
0.735 0.234 0.702
0.735 0.735 0.705
0.766 0.265 0.298
0.766 0.766 0.298
```

Properties
V, Å³/atom: 33.5
Energy relative to the elements, uncorrected, eV/atom: -0.961
SG: C2/m
VASP energy, eV per cell: -78.4

No. 8
The following is a PBE calculation of a relaxed structure of KHfTi2, from the Alexandria database.

Geometry as POSCAR:
```
KHfTi2
1.0
7.233 0.000 0.000
0.000 7.233 0.000
0.000 0.000 7.233
K Hf Ti
4 4 8
Direct
0.000 0.000 0.000
0.000 0.500 0.500
0.500 0.000 0.500
0.500 0.500 0.000
0.000 0.000 0.500
0.000 0.500 0.000
0.500 0.000 0.000
0.500 0.500 0.500
0.250 0.250 0.250
0.250 0.250 0.750
0.250 0.750 0.250
0.250 0.750 0.750
0.750 0.250 0.250
0.750 0.250 0.750
0.750 0.750 0.250
0.750 0.750 0.750
```

Properties
Formation energy, eV per atom: 1.1562
V, Å³/atom: 23.7
Energy relative to the lowest polymorph listed for this composition, eV per atom: 0.0000
SG: Fm-3m
VASP energy, eV per cell: -88.9